First-principles (GGA-PBE) data for a relaxed LiPmS2 crystal, as listed in the Alexandria database.

a b c (Å): 4.2050 4.2050 7.8522
angles (deg): 74.47 74.47 60.00
Last column: nearest neighbours and their distance in Å.
Fractional positions:
S 0.1012 0.1012 0.6963  1 Li 2.27
S 0.8988 0.8988 0.3037  1 Li 2.27
Li 0.0000 0.0000 0.0000  2 S 2.27
Pm 0.5000 0.5000 0.5000  6 S 2.84

Summary:
Crystal system ... trigonal
Density of states at the Fermi level ... 0.000 states/eV/f.u.
Space group ... R-3m (166)
E_form (uncorrected) ... -1.675 eV per atom